(1)
Nd3Al2Cd4 | PBE | optimized geometry

a b c (Å): 6.1201 6.1201 9.2280
angles (deg): 113.79 113.79 47.13
Atoms (fractional coordinates):
Nd (0.0000, 0.0000, 0.0000)
Nd (0.3351, 0.3351, 0.3307)
Nd (0.6649, 0.6649, 0.6693)
Al (0.3901, 0.3901, 0.7229)
Al (0.6099, 0.6099, 0.2771)
Cd (0.0755, 0.0755, 0.4043)
Cd (0.2964, 0.2964, 0.9581)
Cd (0.7036, 0.7036, 0.0419)
Cd (0.9245, 0.9245, 0.5957)

**DFT formation energy**: -35.24 kJ/mol of atoms
**Total energy**: -3.1929 eV per atom

***

(2)
ZrZn11Os | PBE | optimized geometry

a b c (Å): 6.8448 6.8448 6.5387
angles (deg): 97.92 97.92 135.60
Atoms (fractional coordinates):
Zr (0.0000, 0.0000, 0.0000)
Zn (0.0000, 0.5000, 0.0000)
Zn (0.0154, 0.6701, 0.6473)
Zn (0.2876, 0.5004, 0.7892)
Zn (0.3299, 0.9846, 0.3527)
Zn (0.5000, 0.0000, 0.0000)
Zn (0.5004, 0.2876, 0.7892)
Zn (0.5000, 0.5000, 0.5000)
Zn (0.4996, 0.7124, 0.2108)
Zn (0.6701, 0.0154, 0.6473)
Zn (0.7124, 0.4996, 0.2108)
Zn (0.9846, 0.3299, 0.3527)
Os (0.0000, 0.0000, 0.5000)

**DFT formation energy**: -6.60 kJ/mol of atoms
**Total energy**: -2.6677 eV per atom